# 1
# Nd2HO, optimized geometry, DFT PBE
# total DFT energy (no corrections)	-5.81	eV/atom
# V	17.131	Å³ per atom
# space group	No. 160
data_Nd2HO
_cell_length_a 6.5460
_cell_length_b 6.5460
_cell_length_c 6.5460
_cell_angle_alpha 31.64
_cell_angle_beta 31.64
_cell_angle_gamma 31.64
_symmetry_space_group_name_H-M 'P 1'
_symmetry_Int_Tables_number 1
_symmetry_space_group_name_Hall 'P 1'
loop_
_atom_site_label
_atom_site_type_symbol
_atom_site_fract_x
_atom_site_fract_y
_atom_site_fract_z
Nd1 Nd 0.0000 0.0000 0.0000
Nd2 Nd 0.1706 0.1706 0.1706
H1 H 0.5825 0.5825 0.5825
O1 O 0.7459 0.7459 0.7459

=====

# 2
# PmPd5Au7, optimized geometry, DFT PBE
# total DFT energy (no corrections)	-4.41	eV/atom
# V	18.434	Å³ per atom
# space group	No. 44
data_PmPd5Au7
_cell_length_a 7.1357
_cell_length_b 7.1357
_cell_length_c 7.1357
_cell_angle_alpha 134.29
_cell_angle_beta 98.27
_cell_angle_gamma 99.08
_symmetry_space_group_name_H-M 'P 1'
_symmetry_Int_Tables_number 1
_symmetry_space_group_name_Hall 'P 1'
loop_
_atom_site_label
_atom_site_type_symbol
_atom_site_fract_x
_atom_site_fract_y
_atom_site_fract_z
Pm1 Pm 0.0000 0.0000 0.0000
Pd1 Pd 0.2122 0.7122 0.5000
Pd2 Pd 0.4835 0.4849 0.4968
Pd3 Pd 0.4835 0.9867 0.9986
Pd4 Pd 0.9881 0.4849 0.0014
Pd5 Pd 0.9881 0.9867 0.5032
Au1 Au 0.1923 0.4874 0.7049
Au2 Au 0.3257 0.9840 0.3417
Au3 Au 0.3331 0.3331 0.0000
Au4 Au 0.6422 0.9840 0.6583
Au5 Au 0.6572 0.6572 0.0000
Au6 Au 0.7608 0.2608 0.5000
Au7 Au 0.7824 0.4874 0.2951

=====

# 3
# CeTmLu, optimized geometry, DFT PBE
# total DFT energy (no corrections)	-4.90	eV/atom
# V	29.714	Å³ per atom
# space group	No. 107
data_CeTmLu
_cell_length_a 7.7868
_cell_length_b 7.7868
_cell_length_c 7.7868
_cell_angle_alpha 154.23
_cell_angle_beta 154.23
_cell_angle_gamma 36.77
_symmetry_space_group_name_H-M 'P 1'
_symmetry_Int_Tables_number 1
_symmetry_space_group_name_Hall 'P 1'
loop_
_atom_site_label
_atom_site_type_symbol
_atom_site_fract_x
_atom_site_fract_y
_atom_site_fract_z
Ce1 Ce 0.0000 0.0000 0.0000
Tm1 Tm 0.6658 0.6658 0.0000
Lu1 Lu 0.3353 0.3353 0.0000

=====

Question: Among the records above, which one has the lowest V?
Answer: Nd2HO

=====

Please write out number 3 again, unchanged.
# CeTmLu, optimized geometry, DFT PBE
# total DFT energy (no corrections)	-4.90	eV/atom
# V	29.714	Å³ per atom
# space group	No. 107
data_CeTmLu
_cell_length_a 7.7868
_cell_length_b 7.7868
_cell_length_c 7.7868
_cell_angle_alpha 154.23
_cell_angle_beta 154.23
_cell_angle_gamma 36.77
_symmetry_space_group_name_H-M 'P 1'
_symmetry_Int_Tables_number 1
_symmetry_space_group_name_Hall 'P 1'
loop_
_atom_site_label
_atom_site_type_symbol
_atom_site_fract_x
_atom_site_fract_y
_atom_site_fract_z
Ce1 Ce 0.0000 0.0000 0.0000
Tm1 Tm 0.6658 0.6658 0.0000
Lu1 Lu 0.3353 0.3353 0.0000

=====

Question: Which value of V does entry 1 give?
Answer: 17.131 Å³ per atom